1.
Below is a relaxed TmReSb crystal, with properties calculated at the PBE-GGA level.

Cell lengths 3.303, 5.603, 7.554 Å; angles 84.35, 77.53, 88.58 degrees
Atoms (fractional coordinates):
Tm  0.112  0.208  0.290
Tm  0.888  0.792  0.710
Re  0.453  0.313  0.594
Re  0.547  0.687  0.406
Sb  0.196  0.730  0.104
Sb  0.804  0.270  0.896

Output
Symmetry: P-1 (2)
Size of the total moment (μB/atom): 0.00
VASP energy (eV per formula unit): -21.16
Calculated volume (Å³/cell): 136
Formation energy from raw total energies (meV per atom): -41

=====

2.
Below is a relaxed Ga3CuC crystal, with properties calculated at the PBE-GGA level.

Cell lengths 4.251, 4.251, 4.251 Å; angles 90.00, 90.00, 90.00 degrees
Atoms (fractional coordinates):
Ga  0.000  0.000  0.500
Ga  0.000  0.500  0.000
Ga  0.500  0.000  0.000
Cu  0.500  0.500  0.500
C  0.000  0.000  0.000

Output
Symmetry: Pm-3m (221)
Size of the total moment (μB/atom): 0.00
Energy relative to the lowest polymorph listed for this composition (eV per atom): 0.000
VASP energy (eV per formula unit): -18.55
Calculated volume (Å³/cell): 77
Calculated formation energy (eV/atom): 0.771

=====

3.
Below is a relaxed La2Sm8Tm crystal, with properties calculated at the PBE-GGA level.

Cell lengths 9.625, 9.625, 8.135 Å; angles 104.69, 104.69, 31.04 degrees
Atoms (fractional coordinates):
La  0.227  0.227  0.137
La  0.773  0.773  0.863
Sm  0.044  0.044  0.229
Sm  0.134  0.134  0.676
Sm  0.320  0.320  0.592
Sm  0.411  0.411  0.049
Sm  0.589  0.589  0.951
Sm  0.680  0.680  0.408
Sm  0.866  0.866  0.324
Sm  0.956  0.956  0.771
Tm  0.500  0.500  0.500

Output
Symmetry: C2/m (12)
Size of the total moment (μB/atom): 0.00
Energy relative to the lowest polymorph listed for this composition (eV per atom): 0.000
VASP energy (eV per formula unit): -51.85
Calculated volume (Å³/cell): 375
Calculated formation energy (eV/atom): 0.021

=====

4.
Below is a relaxed Na2SrCu2As2 crystal, with properties calculated at the PBE-GGA level.

Cell lengths 9.501, 9.501, 9.501 Å; angles 26.41, 26.41, 26.41 degrees
Atoms (fractional coordinates):
Na  0.135  0.135  0.135
Na  0.865  0.865  0.865
Sr  0.000  0.000  0.000
Cu  0.412  0.412  0.412
Cu  0.588  0.588  0.588
As  0.256  0.256  0.256
As  0.744  0.744  0.744

Output
Symmetry: R-3m (166)
Size of the total moment (μB/atom): 0.00
VASP energy (eV per formula unit): -25.35
Calculated volume (Å³/cell): 150
Calculated formation energy (eV/atom): -0.506

=====

5.
Below is a relaxed KMnOs2 crystal, with properties calculated at the PBE-GGA level.

Cell lengths 2.795, 3.799, 7.908 Å; angles 90.00, 90.36, 90.00 degrees
Atoms (fractional coordinates):
K  0.000  0.000  0.000
Mn  0.487  0.500  0.350
Os  0.493  0.500  0.666
Os  0.991  0.000  0.532

Output
Symmetry: Pm (6)
Size of the total moment (μB/atom): 1.06
Energy relative to the lowest polymorph listed for this composition (eV per atom): 0.000
VASP energy (eV per formula unit): -29.86
Calculated volume (Å³/cell): 84
Calculated formation energy (eV/atom): 0.716

=====

6.
Below is a relaxed BaLa2Al2 crystal, with properties calculated at the PBE-GGA level.

Cell lengths 9.412, 9.412, 3.552 Å; angles 90.00, 90.00, 90.00 degrees
Atoms (fractional coordinates):
Ba  0.000  0.000  0.000
Ba  0.500  0.500  0.000
La  0.119  0.381  0.000
La  0.381  0.881  0.000
La  0.619  0.119  0.000
La  0.881  0.619  0.000
Al  0.174  0.674  0.500
Al  0.326  0.174  0.500
Al  0.674  0.826  0.500
Al  0.826  0.326  0.500

Output
Symmetry: P4/mbm (127)
Size of the total moment (μB/atom): 0.00
Energy relative to the lowest polymorph listed for this composition (eV per atom): 0.000
VASP energy (eV per formula unit): -20.14
Calculated volume (Å³/cell): 315
Calculated formation energy (eV/atom): -0.175